# 1
First-principles (PBE) data for an optimized crystal structure of NaCePt4, as listed in Alexandria via LeMat-Bulk.

Calculated values
Formation energy from the elements, eV per atom: -0.82

a = 5.418 Å, b = 5.418 Å, c = 5.418 Å
α = 60.00°, β = 60.00°, γ = 60.00°
Positions (direct):
Na1 0.000 0.000 0.000
Ce1 0.250 0.250 0.250
Pt1 0.124 0.625 0.625
Pt2 0.625 0.124 0.625
Pt3 0.625 0.625 0.124
Pt4 0.625 0.625 0.625


# 2
First-principles (PBE) data for an optimized crystal structure of AlPt2Br, as listed in Alexandria via LeMat-Bulk.

Calculated values
Formation energy without anion corrections, eV/atom: -0.31
ΔE to the lowest computed polymorph, meV/atom: 127.7

a = 7.388 Å, b = 3.629 Å, c = 6.824 Å
α = 90.00°, β = 100.03°, γ = 90.00°
Positions (direct):
Al1 0.000 0.000 0.000
Al2 0.500 0.500 0.000
Pt1 0.162 0.500 0.854
Pt2 0.338 0.000 0.146
Pt3 0.662 0.000 0.854
Pt4 0.838 0.500 0.146
Br1 0.000 0.500 0.500
Br2 0.500 0.000 0.500


| no. | total magnetic moment (μB/f.u.) |
| --- | --- |
| 1 | 0.39 |
| 2 | 0.00 |